Record 1
# GGA-PBE SiSbTe2N, relaxed
# - formation energy without anion corrections (eV per atom) = 0.846
# - energy (eV per cell) = -19.92
# - N(E_F) (states/eV/atom) = 0.5920
# - offset from the most stable computed form (meV per atom) = 566.9
# - M_tot (μB per formula unit) = 0.0
data_SiSbTe2N
_symmetry_space_group_name_H-M 'P 4/m m m'
_symmetry_Int_Tables_number 123
_symmetry_space_group_name_Hall '-P 4 2'
_cell_length_a 4.713
_cell_length_b 4.713
_cell_length_c 4.856
_cell_angle_alpha 90.00
_cell_angle_beta 90.00
_cell_angle_gamma 90.00
loop_
_atom_site_label
_atom_site_type_symbol
_atom_site_fract_x
_atom_site_fract_y
_atom_site_fract_z
Si1 Si 0.000 0.000 0.000
Sb1 Sb 0.500 0.500 0.000
Te1 Te 0.000 0.500 0.500
N1 N 0.500 0.500 0.500

Record 2
# GGA-PBE SiSb2TeN, relaxed
# - formation energy without anion corrections (eV per atom) = 0.814
# - energy (eV per cell) = -21.07
# - N(E_F) (states/eV/atom) = 0.7223
# - offset from the most stable computed form (meV per atom) = 0.0
# - M_tot (μB per formula unit) = 0.0
data_SiSb2TeN
_symmetry_space_group_name_H-M 'P 4/m m m'
_symmetry_Int_Tables_number 123
_symmetry_space_group_name_Hall '-P 4 2'
_cell_length_a 4.821
_cell_length_b 4.821
_cell_length_c 4.611
_cell_angle_alpha 90.00
_cell_angle_beta 90.00
_cell_angle_gamma 90.00
loop_
_atom_site_label
_atom_site_type_symbol
_atom_site_fract_x
_atom_site_fract_y
_atom_site_fract_z
Si1 Si 0.000 0.000 0.000
Sb1 Sb 0.000 0.500 0.500
Te1 Te 0.500 0.500 0.000
N1 N 0.500 0.500 0.500

Record 3
# GGA-PBE SiSbTeN2, relaxed
# - formation energy without anion corrections (eV per atom) = 1.397
# - energy (eV per cell) = -22.35
# - N(E_F) (states/eV/atom) = 0.4776
# - offset from the most stable computed form (meV per atom) = 340.5
# - M_tot (μB per formula unit) = 1.0
data_SiSbTeN2
_symmetry_space_group_name_H-M 'P 4/m m m'
_symmetry_Int_Tables_number 123
_symmetry_space_group_name_Hall '-P 4 2'
_cell_length_a 4.050
_cell_length_b 4.050
_cell_length_c 6.488
_cell_angle_alpha 90.00
_cell_angle_beta 90.00
_cell_angle_gamma 90.00
loop_
_atom_site_label
_atom_site_type_symbol
_atom_site_fract_x
_atom_site_fract_y
_atom_site_fract_z
Si1 Si 0.000 0.000 0.000
Sb1 Sb 0.500 0.500 0.500
Te1 Te 0.500 0.500 0.000
N1 N 0.000 0.500 0.500

Record 4
# GGA-PBE ZnSi2SbN, relaxed
# - formation energy without anion corrections (eV per atom) = 0.697
# - energy (eV per cell) = -21.08
# - N(E_F) (states/eV/atom) = 0.3391
# - M_tot (μB per formula unit) = 0.0
data_ZnSi2SbN
_symmetry_space_group_name_H-M 'P 4/m m m'
_symmetry_Int_Tables_number 123
_symmetry_space_group_name_Hall '-P 4 2'
_cell_length_a 4.120
_cell_length_b 4.120
_cell_length_c 4.813
_cell_angle_alpha 90.00
_cell_angle_beta 90.00
_cell_angle_gamma 90.00
loop_
_atom_site_label
_atom_site_type_symbol
_atom_site_fract_x
_atom_site_fract_y
_atom_site_fract_z
Zn1 Zn 0.000 0.000 0.000
Si1 Si 0.000 0.500 0.500
Sb1 Sb 0.500 0.500 0.000
N1 N 0.500 0.500 0.500